The following is a DFT calculation (PBE-GGA) of a relaxed structure of RhWSe2.

* energy above the most stable polymorph in this dataset: 0.798 eV per atom
* volume: 17.09 A^3/atom
* raw formation energy: 0.580 eV/atom
* calculated density: 10.802 g/cm³

Geometry as POSCAR:
```
RhWSe2
1.0
1.555 -2.624 0.000
1.555 2.624 0.000
0.000 0.000 8.374
Rh W Se
1 1 2
direct
0.000 0.000 0.000
0.000 0.000 0.500
0.500 0.500 0.251
0.500 0.500 0.749
```